Eu2Co2O5 | PBE+U | optimized geometry

Unit cell a=3.9050 b=3.9050 c=7.2976 alpha=90.00 beta=90.00 gamma=90.00
Space group P4/mmm (No. 123)
Asymmetric unit:
Eu  0.0000  0.0000  0.0000 [1 per cell]
Eu  0.0000  0.0000  0.5000 [1 per cell]
Co  0.5000  0.5000  0.2430 [2 per cell]
O  0.0000  0.5000  0.2132 [4 per cell]
O  0.5000  0.5000  0.5000 [1 per cell]

Its energy above the most stable polymorph in this dataset is 0.145 eV/atom. Its crystal system is tetragonal.